(1)
DFT (PBE) results for an optimized crystal structure of NaReAgO3.

Geometry as POSCAR:
```
NaReAgO3
1.0
-3.147 4.400 -6.681
-1.248 -2.374 -0.975
-9.886 2.587 6.360
Ag Na O Re
4 4 12 4
direct
0.489 0.000 0.101 Ag
0.989 0.500 0.399 Ag
0.011 0.000 0.601 Ag
0.511 0.500 0.899 Ag
0.161 0.000 0.222 Na
0.661 0.500 0.278 Na
0.339 0.000 0.722 Na
0.839 0.500 0.778 Na
0.253 0.000 0.051 O
0.998 0.500 0.122 O
0.727 0.000 0.148 O
0.227 0.500 0.352 O
0.498 0.000 0.378 O
0.753 0.500 0.449 O
0.247 0.000 0.551 O
0.502 0.500 0.622 O
0.773 0.000 0.648 O
0.273 0.500 0.852 O
0.002 0.000 0.878 O
0.747 0.500 0.949 O
0.875 0.000 0.029 Re
0.375 0.500 0.471 Re
0.625 0.000 0.529 Re
0.125 0.500 0.971 Re
```

total energy	-6.322	eV per atom
space-group type	Pnma (62)



(2)
DFT (PBE) results for an optimized crystal structure of NaAgS2O3.

Geometry as POSCAR:
```
NaAgS2O3
1.0
9.142 0.000 -0.016
0.000 6.099 0.000
-2.269 0.000 8.062
Ag Na O S
4 4 12 8
direct
0.558 0.487 0.220 Ag
0.442 0.987 0.280 Ag
0.558 0.013 0.720 Ag
0.442 0.513 0.780 Ag
0.941 0.138 0.170 Na
0.059 0.638 0.330 Na
0.941 0.362 0.670 Na
0.059 0.862 0.830 Na
0.924 0.802 0.035 O
0.821 0.477 0.134 O
0.195 0.483 0.163 O
0.805 0.983 0.337 O
0.179 0.977 0.366 O
0.076 0.302 0.465 O
0.924 0.698 0.535 O
0.821 0.023 0.634 O
0.195 0.017 0.663 O
0.805 0.517 0.837 O
0.179 0.523 0.866 O
0.076 0.198 0.965 O
0.194 0.371 0.009 S
0.402 0.212 0.034 S
0.598 0.712 0.466 S
0.806 0.871 0.491 S
0.194 0.129 0.509 S
0.402 0.288 0.534 S
0.598 0.788 0.966 S
0.806 0.629 0.991 S
```

total energy	-5.006	eV per atom
space-group type	P2_1/c (14)



(3)
DFT (PBE) results for an optimized crystal structure of NaAgSnO3.

Geometry as POSCAR:
```
NaAgSnO3
1.0
8.821 0.000 0.000
0.000 3.205 0.000
0.000 0.000 12.101
Ag Na O Sn
4 4 12 4
direct
0.481 0.000 0.101 Ag
0.981 0.500 0.399 Ag
0.019 0.000 0.601 Ag
0.519 0.500 0.899 Ag
0.138 0.000 0.215 Na
0.638 0.500 0.285 Na
0.362 0.000 0.715 Na
0.862 0.500 0.785 Na
0.254 0.000 0.049 O
0.988 0.500 0.095 O
0.701 0.000 0.166 O
0.201 0.500 0.334 O
0.488 0.000 0.405 O
0.754 0.500 0.451 O
0.246 0.000 0.549 O
0.512 0.500 0.595 O
0.799 0.000 0.666 O
0.299 0.500 0.834 O
0.012 0.000 0.905 O
0.746 0.500 0.951 O
0.842 0.000 0.038 Sn
0.342 0.500 0.462 Sn
0.658 0.000 0.538 Sn
0.158 0.500 0.962 Sn
```

total energy	-5.085	eV per atom
space-group type	Pnma (62)



(4)
DFT (PBE) results for an optimized crystal structure of NaTbAg3O4.

Geometry as POSCAR:
```
NaTbAg3O4
1.0
-0.429 4.927 -2.470
1.126 -2.347 -4.877
-5.396 -0.882 -0.821
Ag Na O Tb
3 1 4 1
direct
0.500 0.500 0.000 Ag
0.500 0.000 0.500 Ag
0.000 0.500 0.500 Ag
0.000 0.000 0.000 Na
0.271 0.271 0.271 O
0.729 0.729 0.271 O
0.729 0.271 0.729 O
0.271 0.729 0.729 O
0.500 0.500 0.500 Tb
```

total energy	-4.625	eV per atom
space-group type	P-43m (215)



(5)
DFT (PBE) results for an optimized crystal structure of NaAg3OsS4.

Geometry as POSCAR:
```
NaAg3OsS4
1.0
-3.676 3.600 3.367
-4.907 -2.274 -2.925
-0.467 -4.436 4.232
Ag Na Os S
3 1 1 4
direct
0.500 0.500 0.000 Ag
0.500 0.000 0.500 Ag
0.000 0.500 0.500 Ag
0.000 0.000 0.000 Na
0.500 0.500 0.500 Os
0.284 0.284 0.284 S
0.716 0.716 0.284 S
0.716 0.284 0.716 S
0.284 0.716 0.716 S
```

total energy	-4.198	eV per atom
space-group type	P-43m (215)



(6)
DFT (PBE) results for an optimized crystal structure of NaAgOsSeS2.

Geometry as POSCAR:
```
NaAgOsSeS2
1.0
1.360 3.893 -5.858
-4.636 -2.978 4.578
0.148 8.156 5.455
Ag Na Os S Se
2 2 2 4 2
direct
0.921 0.079 0.250 Ag
0.079 0.921 0.750 Ag
0.242 0.758 0.250 Na
0.758 0.242 0.750 Na
0.500 0.500 0.000 Os
0.500 0.500 0.500 Os
0.886 0.114 0.012 S
0.886 0.114 0.488 S
0.114 0.886 0.512 S
0.114 0.886 0.988 S
0.572 0.428 0.250 Se
0.428 0.572 0.750 Se
```

total energy	-4.652	eV per atom
space-group type	Cmcm (63)



(7)
DFT (PBE) results for an optimized crystal structure of NaAgOsSe2S.

Geometry as POSCAR:
```
NaAgOsSe2S
1.0
1.681 6.341 -2.525
-4.960 -4.728 1.567
-0.762 3.760 8.936
Ag Na Os S Se
2 2 2 2 4
direct
0.564 0.436 0.250 Ag
0.436 0.564 0.750 Ag
0.253 0.747 0.250 Na
0.747 0.253 0.750 Na
0.000 0.000 0.000 Os
0.000 0.000 0.500 Os
0.933 0.067 0.250 S
0.067 0.933 0.750 S
0.626 0.374 0.008 Se
0.626 0.374 0.492 Se
0.374 0.626 0.508 Se
0.374 0.626 0.992 Se
```

total energy	-4.493	eV per atom
space-group type	Cmcm (63)



(8)
DFT (PBE) results for an optimized crystal structure of NaAgTe2OsS.

Geometry as POSCAR:
```
NaAgTe2OsS
1.0
2.002 -6.968 0.000
2.002 6.968 0.000
0.000 0.000 9.963
Ag Na Os S Te
2 2 2 2 4
direct
0.948 0.052 0.250 Ag
0.052 0.948 0.750 Ag
0.262 0.738 0.250 Na
0.738 0.262 0.750 Na
0.500 0.500 0.000 Os
0.500 0.500 0.500 Os
0.561 0.439 0.250 S
0.439 0.561 0.750 S
0.868 0.132 0.006 Te
0.868 0.132 0.494 Te
0.132 0.868 0.506 Te
0.132 0.868 0.994 Te
```

total energy	-4.273	eV per atom
space-group type	Cmcm (63)



(9)
DFT (PBE) results for an optimized crystal structure of NaAg3OsSe4.

Geometry as POSCAR:
```
NaAg3OsSe4
1.0
6.340 0.000 0.000
0.000 6.340 0.000
0.000 0.000 6.340
Ag Na Os Se
3 1 1 4
direct
0.500 0.500 0.000 Ag
0.500 0.000 0.500 Ag
0.000 0.500 0.500 Ag
0.000 0.000 0.000 Na
0.500 0.500 0.500 Os
0.279 0.279 0.279 Se
0.721 0.721 0.279 Se
0.721 0.279 0.721 Se
0.279 0.721 0.721 Se
```

total energy	-3.891	eV per atom
space-group type	P-43m (215)



(10)
DFT (PBE) results for an optimized crystal structure of NaAgTeOsSe2.

Geometry as POSCAR:
```
NaAgTeOsSe2
1.0
-6.871 -0.737 2.555
4.969 -1.008 -5.346
2.460 -9.080 3.998
Ag Na Os Se Te
2 2 2 4 2
direct
0.565 0.435 0.250 Ag
0.435 0.565 0.750 Ag
0.232 0.768 0.250 Na
0.768 0.232 0.750 Na
0.000 0.000 0.000 Os
0.000 0.000 0.500 Os
0.619 0.381 0.017 Se
0.619 0.381 0.483 Se
0.381 0.619 0.517 Se
0.381 0.619 0.983 Se
0.917 0.083 0.250 Te
0.083 0.917 0.750 Te
```

total energy	-4.331	eV per atom
space-group type	Cmcm (63)



(11)
DFT (PBE) results for an optimized crystal structure of NaAg3Te4Os.

Geometry as POSCAR:
```
NaAg3Te4Os
1.0
6.642 0.000 0.000
0.000 6.642 0.000
0.000 0.000 6.642
Ag Na Os Te
3 1 1 4
direct
0.500 0.500 0.000 Ag
0.500 0.000 0.500 Ag
0.000 0.500 0.500 Ag
0.000 0.000 0.000 Na
0.500 0.500 0.500 Os
0.274 0.274 0.274 Te
0.726 0.726 0.274 Te
0.726 0.274 0.726 Te
0.274 0.726 0.726 Te
```

total energy	-3.652	eV per atom
space-group type	P-43m (215)



(12)
DFT (PBE) results for an optimized crystal structure of NaAgTe3Os.

Geometry as POSCAR:
```
NaAgTe3Os
1.0
-0.093 3.994 0.429
-5.331 2.378 -4.487
-7.015 -1.001 7.805
Ag Na Os Te
2 2 2 6
direct
0.440 0.119 0.250 Ag
0.560 0.881 0.750 Ag
0.770 0.461 0.250 Na
0.230 0.539 0.750 Na
0.000 0.000 0.000 Os
0.000 0.000 0.500 Os
0.371 0.258 0.014 Te
0.079 0.843 0.250 Te
0.371 0.258 0.486 Te
0.629 0.742 0.514 Te
0.921 0.157 0.750 Te
0.629 0.742 0.986 Te
```

total energy	-4.142	eV per atom
space-group type	Cmcm (63)



The highest total energy belongs to which entry?
NaAg3Te4Os



What is the total energy in the eleventh record?
-3.652 eV per atom



Among the records above, which one has the highest total energy?
NaAg3Te4Os



Look up the total energy of the twelfth one.
-4.142 eV per atom